Entry 1:
Here is an optimized crystal structure of LaTbNd4 from Alexandria via LeMat-Bulk. Energies are from PBE-GGA.

a b c (Å): 7.003 12.449 9.797
angles (deg): 90.00 90.00 90.00
Space group Cmcm (No. 63)
Inequivalent atoms, fractional coordinates:
La  0.000  0.181  0.250 x4
Tb  0.000  0.000  0.000 x4
Nd  0.000  0.347  0.574 x8
Nd  0.239  0.396  0.250 x8

Values from the calculation:
energy relative to the lowest polymorph listed for this composition: 192 meV per atom
calculated formation energy: 1.25 eV per formula unit



Entry 2:
Here is an optimized crystal structure of Sm3ZrN4 from Alexandria via LeMat-Bulk. Energies are from PBE-GGA.

a b c (Å): 7.017 9.867 3.483
angles (deg): 90.00 90.00 90.00
Space group Cmmm (No. 65)
Inequivalent atoms, fractional coordinates:
Sm  0.000  0.000  0.000 x2
Sm  0.250  0.250  0.500 x4
Zr  0.000  0.500  0.000 x2
N  0.000  0.263  0.000 x4
N  0.231  0.500  0.500 x4

Values from the calculation:
final energy: -0.3140 hartree per atom



Entry 3:
Here is an optimized crystal structure of Ba2TaAgTe from Alexandria via LeMat-Bulk. Energies are from PBE-GGA.

a b c (Å): 6.581 6.581 5.233
angles (deg): 90.00 90.00 90.00
Space group P4/mmm (No. 123)
Inequivalent atoms, fractional coordinates:
Ba  0.000  0.500  0.000 x2
Ta  0.000  0.000  0.500 x1
Ag  0.500  0.500  0.500 x1
Te  0.500  0.500  0.000 x1

Values from the calculation:
final energy: -0.1348 hartree per atom



Entry 4:
Here is an optimized crystal structure of La3VC from Alexandria via LeMat-Bulk. Energies are from PBE-GGA.

a b c (Å): 5.212 5.212 5.212
angles (deg): 90.00 90.00 90.00
Space group Pm-3m (No. 221)
Inequivalent atoms, fractional coordinates:
La  0.000  0.000  0.500 x3
V  0.500  0.500  0.500 x1
C  0.000  0.000  0.000 x1

Values from the calculation:
energy relative to the lowest polymorph listed for this composition: 0 meV per atom
calculated formation energy: 1.64 eV per formula unit



Entry 5:
Here is an optimized crystal structure of Er4AlIn3 from Alexandria via LeMat-Bulk. Energies are from PBE-GGA.

a b c (Å): 3.727 4.685 11.932
angles (deg): 90.00 90.00 90.00
Space group Pmm2 (No. 25)
Inequivalent atoms, fractional coordinates:
Er  0.000  0.000  0.000 x1
Er  0.000  0.500  0.307 x1
Er  0.500  0.000  0.487 x1
Er  0.500  0.500  0.813 x1
Al  0.500  0.000  0.229 x1
In  0.000  0.000  0.731 x1
In  0.000  0.500  0.574 x1
In  0.500  0.500  0.080 x1

Values from the calculation:
energy relative to the lowest polymorph listed for this composition: 37 meV per atom
calculated formation energy: -3.11 eV per formula unit



Entry 6:
Here is an optimized crystal structure of BiIrNF2 from Alexandria via LeMat-Bulk. Energies are from PBE-GGA.

a b c (Å): 4.630 4.630 3.681
angles (deg): 90.00 90.00 90.00
Space group P4/mmm (No. 123)
Inequivalent atoms, fractional coordinates:
Bi  0.000  0.000  0.000 x1
Ir  0.500  0.500  0.500 x1
N  0.500  0.500  0.000 x1
F  0.000  0.500  0.500 x2

Values from the calculation:
energy relative to the lowest polymorph listed for this composition: 0 meV per atom



| no. | mass density (g/cm³) |
| --- | --- |
| 1 | 6.803 |
| 2 | 8.240 |
| 3 | 5.063 |
| 4 | 5.625 |
| 5 | 8.292 |
| 6 | 9.539 |